[1]
# DyTh2ScBi5

An optimized crystal structure of DyTh2ScBi5 (GGA-PBE, Alexandria via LeMat-Bulk).

Unit cell a=5.4572 b=5.4572 c=11.3815 alpha=90.00 beta=90.00 gamma=90.00
With the nearest neighbours (Å) after each atom.
Space group P4/mmm (No. 123)
Symmetry-distinct sites (fractional):
Dy (0.0000, 0.0000, 0.0000) (multiplicity 1)  6 Bi 2.73-2.96
Th (0.5000, 0.5000, 0.2018) (multiplicity 2)  5 Bi 3.39-3.57
Sc (0.0000, 0.0000, 0.5000) (multiplicity 1)  2 Bi 2.73
Bi (0.0000, 0.0000, 0.2602) (multiplicity 2)  1 Sc 2.73, 1 Dy 2.96
Bi (0.0000, 0.5000, 0.0000) (multiplicity 2)  2 Dy 2.73
Bi (0.5000, 0.5000, 0.5000) (multiplicity 1)  2 Th 3.39

Results
Its total energy is -4.939 eV per atom. As for the volume: 37.66 Å³/atom. The value obtained for the energy of formation is 0.081 eV/atom.


[2]
# Si2IrW

An optimized crystal structure of Si2IrW (GGA-PBE, Alexandria via LeMat-Bulk).

Unit cell a=2.8587 b=3.5851 c=5.4998 alpha=90.00 beta=90.00 gamma=90.00
With the nearest neighbours (Å) after each atom.
Space group Pmm2 (No. 25)
Symmetry-distinct sites (fractional):
Si (0.0000, 0.0000, 0.0000) (multiplicity 1)  4 Ir 2.50, 1 W 2.61, 4 Si 2.73
Si (0.5000, 0.5000, 0.2701) (multiplicity 1)  1 Ir 2.48, 4 W 2.55, 4 Si 2.73
Ir (0.5000, 0.5000, 0.8185) (multiplicity 1)  5 Si 2.48-2.50
W (0.0000, 0.0000, 0.4747) (multiplicity 1)  5 Si 2.55-2.61, 2 W 2.86

Results
The excess energy over the best structure of this formula in the dataset is 42 meV per atom. Its total energy is -8.426 eV per atom. As for the volume: 14.09 Å³/atom.


[3]
# KAs2Pt

An optimized crystal structure of KAs2Pt (GGA-PBE, Alexandria via LeMat-Bulk).

Unit cell a=4.3486 b=4.3486 c=4.2808 alpha=90.00 beta=90.00 gamma=90.00
With the nearest neighbours (Å) after each atom.
Space group P4/mmm (No. 123)
Symmetry-distinct sites (fractional):
K (0.0000, 0.0000, 0.0000) (multiplicity 1)  8 As 3.05, 4 Pt 3.07
As (0.0000, 0.5000, 0.5000) (multiplicity 2)  4 Pt 3.05, 4 K 3.05, 4 As 3.07
Pt (0.5000, 0.5000, 0.0000) (multiplicity 1)  8 As 3.05, 4 K 3.07

Results
The excess energy over the best structure of this formula in the dataset is 701 meV per atom. Its total energy is -3.854 eV per atom. As for the volume: 20.24 Å³/atom. The value obtained for the energy of formation is 0.255 eV/atom.


[4]
# BaLi2Mg2

An optimized crystal structure of BaLi2Mg2 (GGA-PBE, Alexandria via LeMat-Bulk).

Unit cell a=4.7817 b=4.7817 c=13.8015 alpha=90.00 beta=90.00 gamma=90.00
With the nearest neighbours (Å) after each atom.
Space group I4/mmm (No. 139)
Symmetry-distinct sites (fractional):
Ba (0.0000, 0.0000, 0.0000) (multiplicity 2)  8 Mg 3.74
Li (0.0000, 0.5000, 0.2500) (multiplicity 4)  4 Mg 3.02, 4 Li 3.38
Mg (0.0000, 0.0000, 0.3842) (multiplicity 4)  4 Li 3.02, 1 Mg 3.20

Results
The excess energy over the best structure of this formula in the dataset is 32 meV per atom. Its total energy is -1.738 eV per atom. As for the volume: 31.56 Å³/atom. The value obtained for the energy of formation is 0.050 eV/atom.


[5]
# Ac2TbDy

An optimized crystal structure of Ac2TbDy (GGA-PBE, Alexandria via LeMat-Bulk).

Unit cell a=5.4494 b=5.4494 c=5.0759 alpha=90.00 beta=90.00 gamma=90.00
With the nearest neighbours (Å) after each atom.
Space group P4/mmm (No. 123)
Symmetry-distinct sites (fractional):
Ac (0.0000, 0.5000, 0.0000) (multiplicity 2)  4 Tb 3.72, 4 Dy 3.72, 4 Ac 3.85
Tb (0.0000, 0.0000, 0.5000) (multiplicity 1)  8 Ac 3.72, 4 Dy 3.85
Dy (0.5000, 0.5000, 0.5000) (multiplicity 1)  8 Ac 3.72, 4 Tb 3.85

Results
The excess energy over the best structure of this formula in the dataset is 0 meV per atom. Its total energy is -4.316 eV per atom. As for the volume: 37.68 Å³/atom. The value obtained for the energy of formation is 0.046 eV/atom.


[6]
# VCo2B

An optimized crystal structure of VCo2B (GGA-PBE, Alexandria via LeMat-Bulk).

Unit cell a=3.5593 b=4.7079 c=4.8084 alpha=90.00 beta=90.00 gamma=90.00
With the nearest neighbours (Å) after each atom.
Space group Pmmn (No. 59, origin choice 2)
Symmetry-distinct sites (fractional):
V (0.2500, 0.2500, 0.1138) (multiplicity 2)  6 Co 2.41-2.45, 4 B 2.50-2.62
Co (0.2500, 0.0083, 0.6627) (multiplicity 4)  3 B 2.13-2.18, 3 Co 2.28-2.37
B (0.2500, 0.7500, 0.2858) (multiplicity 2)  6 Co 2.13-2.18

Results
Its total energy is -7.637 eV per atom. As for the volume: 10.07 Å³/atom. The value obtained for the energy of formation is -0.135 eV/atom.


[7]
# Sr2IrBr

An optimized crystal structure of Sr2IrBr (GGA-PBE, Alexandria via LeMat-Bulk).

Unit cell a=7.4598 b=7.4598 c=7.4598 alpha=90.00 beta=90.00 gamma=90.00
With the nearest neighbours (Å) after each atom.
Space group F-43m (No. 216)
Symmetry-distinct sites (fractional):
Sr (0.0000, 0.0000, 0.0000) (multiplicity 4)  4 Sr 3.23, 4 Br 3.23
Sr (0.2500, 0.2500, 0.2500) (multiplicity 4)  4 Ir 3.23, 4 Sr 3.23
Ir (0.0000, 0.0000, 0.5000) (multiplicity 4)  4 Br 3.23, 4 Sr 3.23
Br (0.2500, 0.2500, 0.7500) (multiplicity 4)  4 Ir 3.23, 4 Sr 3.23

Results
The excess energy over the best structure of this formula in the dataset is 780 meV per atom. Its total energy is -3.503 eV per atom. As for the volume: 25.95 Å³/atom.


[8]
# Li4Ag2Pb

An optimized crystal structure of Li4Ag2Pb (GGA-PBE, Alexandria via LeMat-Bulk).

Unit cell a=6.6897 b=6.6897 c=6.1640 alpha=90.00 beta=90.00 gamma=90.00
With the nearest neighbours (Å) after each atom.
Space group I4/mmm (No. 139)
Symmetry-distinct sites (fractional):
Li (0.2500, 0.2500, 0.2500) (multiplicity 8)  2 Pb 2.82, 4 Ag 2.82, 2 Li 3.08
Ag (0.0000, 0.5000, 0.0000) (multiplicity 4)  8 Li 2.82, 2 Ag 3.08
Pb (0.0000, 0.0000, 0.0000) (multiplicity 2)  8 Li 2.82

Results
The excess energy over the best structure of this formula in the dataset is 34 meV per atom. Its total energy is -2.599 eV per atom. As for the volume: 19.70 Å³/atom. The value obtained for the energy of formation is -0.161 eV/atom.


[9]
# HfSI2O

An optimized crystal structure of HfSI2O (GGA-PBE, Alexandria via LeMat-Bulk).

Unit cell a=5.8300 b=5.8300 c=3.9658 alpha=90.00 beta=90.00 gamma=90.00
With the nearest neighbours (Å) after each atom.
Space group P4/mmm (No. 123)
Symmetry-distinct sites (fractional):
Hf (0.0000, 0.0000, 0.0000) (multiplicity 1)  2 O 1.98
S (0.5000, 0.5000, 0.5000) (multiplicity 1)  8 I 3.53
I (0.0000, 0.5000, 0.0000) (multiplicity 2)  2 Hf 2.91
O (0.0000, 0.0000, 0.5000) (multiplicity 1)  2 Hf 1.98

Results
The excess energy over the best structure of this formula in the dataset is 0 meV per atom. Its total energy is -5.153 eV per atom. As for the volume: 26.96 Å³/atom.


[10]
# Cu3ReO6

An optimized crystal structure of Cu3ReO6 (GGA-PBE, Alexandria via LeMat-Bulk).

Unit cell a=8.9666 b=8.9666 c=9.3663 alpha=90.00 beta=90.00 gamma=120.00
With the nearest neighbours (Å) after each atom.
Space group R-3 (No. 148, hexagonal axes)
Symmetry-distinct sites (fractional):
Cu (0.0276, 0.2917, 0.2037) (multiplicity 18)  4 O 1.96-2.05
Re (0.0000, 0.0000, 0.0000) (multiplicity 3)  6 O 1.92
Re (0.0000, 0.0000, 0.5000) (multiplicity 3)  6 O 1.93
O (0.0099, 0.8242, 0.6112) (multiplicity 18)  1 Re 1.93, 2 Cu 1.96-2.05
O (0.0319, 0.8436, 0.1189) (multiplicity 18)  1 Re 1.92, 2 Cu 1.97

Results
Its total energy is -6.318 eV per atom. As for the volume: 10.87 Å³/atom.


[11]
# PAuC2

An optimized crystal structure of PAuC2 (GGA-PBE, Alexandria via LeMat-Bulk).

Unit cell a=4.0647 b=4.1523 c=5.3420 alpha=111.83 beta=111.93 gamma=90.05
With the nearest neighbours (Å) after each atom.
Space group P1 (No. 1)
Symmetry-distinct sites (fractional):
P (0.0000, 0.0000, 0.0000) (multiplicity 1)  2 C 1.75
Au (0.3581, 0.8564, 0.7079) (multiplicity 1)  2 C 2.28-2.33, 2 P 2.42-2.43
C (0.1072, 0.4509, 0.2183) (multiplicity 1)  1 C 1.28
C (0.1088, 0.7602, 0.2217) (multiplicity 1)  1 C 1.28

Results
Its total energy is -5.982 eV per atom. As for the volume: 19.15 Å³/atom. The value obtained for the energy of formation is 0.802 eV/atom.


[12]
# Ba7H2N2

An optimized crystal structure of Ba7H2N2 (GGA-PBE, Alexandria via LeMat-Bulk).

Unit cell a=8.7964 b=13.1340 c=7.3558 alpha=90.00 beta=98.45 gamma=90.00
With the nearest neighbours (Å) after each atom.
Space group C2/m (No. 12)
Symmetry-distinct sites (fractional):
Ba (0.0000, 0.0000, 0.0000) (multiplicity 2)  2 N 2.85
Ba (0.0864, 0.5000, 0.7828) (multiplicity 4)  2 N 2.64-2.78
Ba (0.2206, 0.1665, 0.7052) (multiplicity 8)  1 N 2.52
H (0.0000, 0.3393, 0.5000) (multiplicity 4)  6 Ba 2.98-3.21
N (0.2109, 0.5000, 0.1318) (multiplicity 4)  4 Ba 2.52-2.78

Results
Its total energy is -3.611 eV per atom. As for the volume: 38.21 Å³/atom.


What did the second record say?
# Si2IrW

An optimized crystal structure of Si2IrW (GGA-PBE, Alexandria via LeMat-Bulk).

Unit cell a=2.8587 b=3.5851 c=5.4998 alpha=90.00 beta=90.00 gamma=90.00
With the nearest neighbours (Å) after each atom.
Space group Pmm2 (No. 25)
Symmetry-distinct sites (fractional):
Si (0.0000, 0.0000, 0.0000) (multiplicity 1)  4 Ir 2.50, 1 W 2.61, 4 Si 2.73
Si (0.5000, 0.5000, 0.2701) (multiplicity 1)  1 Ir 2.48, 4 W 2.55, 4 Si 2.73
Ir (0.5000, 0.5000, 0.8185) (multiplicity 1)  5 Si 2.48-2.50
W (0.0000, 0.0000, 0.4747) (multiplicity 1)  5 Si 2.55-2.61, 2 W 2.86

Results
The excess energy over the best structure of this formula in the dataset is 42 meV per atom. Its total energy is -8.426 eV per atom. As for the volume: 14.09 Å³/atom.


Which formula does entry 8 have? Li4Ag2Pb


Number 2 is which compound? Si2IrW